A relaxed NaPd3Rh crystal. Source: the Alexandria database, functional PBE.

POSCAR file:
```
NaPd3Rh
1.0
-2.926 2.649 -2.230
-3.462 -2.185 1.947
0.063 2.959 3.434
Na Rh Pd
1 1 3
direct
0.000 0.000 0.000
0.500 0.500 0.500
0.000 0.500 0.000
0.000 0.000 0.500
0.500 0.000 0.000
```

Values from the calculation:
relative energy among the computed polymorphs: 0.557 eV/atom
energy: -3.570 eV per atom
symmetry: Pm-3m, No. 221